Record 1
## K2TaSe (PBE)

Data for a relaxed K2TaSe crystal.

Cell: 6.1821 6.1821 3.6271 Å, 90.00 90.00 127.73°
With the nearest neighbours (Å) after each atom.
Atoms (fractional coordinates):
K 0.0000 0.5000 0.0000  2 K 2.72
K 0.5000 0.0000 0.0000  2 K 2.72
Ta 0.0000 0.0000 0.5000  2 Se 2.72
Se 0.5000 0.5000 0.5000  2 Ta 2.72

Values from the calculation:
The uncorrected formation energy comes out at 0.63 eV/atom. The value obtained for the density is 5.12 Mg/m³. The value obtained for the total DFT energy (no corrections) is -3.7507 eV per atom. As for the space-group type: No. 65.

=====

Record 2
## UPa2Tl (PBE)

Data for a relaxed UPa2Tl crystal.

Cell: 3.6849 3.6849 7.2526 Å, 90.00 90.00 90.00°
With the nearest neighbours (Å) after each atom.
Atoms (fractional coordinates):
U 0.0000 0.0000 0.0000  8 Pa 3.04
Pa 0.5000 0.5000 0.2168  4 U 3.04, 1 Pa 3.14, 4 Tl 3.32
Pa 0.5000 0.5000 0.7832  4 U 3.04, 1 Pa 3.14, 4 Tl 3.32
Tl 0.0000 0.0000 0.5000  8 Pa 3.32, 2 U 3.63, 4 Tl 3.68

Values from the calculation:
As for the formation energy: 6.20 kcal/mol of atoms. The value obtained for the density is 15.25 Mg/m³. The calculation puts the polymorph energy (0 for the lowest one) at 0.0 meV/atom. The value obtained for the total DFT energy (no corrections) is -7.8926 eV per atom. As for the space-group type: No. 123.